Entry 1:
Computed, not measured: a geometry-optimized ScReAg2 structure at the PBE level of DFT.

The structure in POSCAR format:
```
ScReAg2
1.0
3.138 0.000 0.000
0.000 4.537 0.000
0.000 0.000 4.898
Ag Re Sc
2 1 1
Direct
0.000 0.000 0.000
0.500 0.500 0.000
0.500 0.000 0.500
0.000 0.500 0.500
```

***

Entry 2:
Computed, not measured: a geometry-optimized LiTc2MoPt structure at the PBE level of DFT.

The structure in POSCAR format:
```
LiTc2MoPt
1.0
4.156 0.000 0.000
0.000 4.082 0.000
0.000 0.000 4.156
Mo Tc Pt Li
1 2 1 1
Direct
0.500 0.500 0.500
0.000 0.000 0.500
0.500 0.000 0.000
0.000 0.500 0.000
0.000 0.000 0.000
```

***

Entry 3:
Computed, not measured: a geometry-optimized Be2CdPt3 structure at the PBE level of DFT.

The structure in POSCAR format:
```
Be2CdPt3
1.0
2.837 0.000 0.000
0.000 2.837 0.000
0.000 0.000 10.081
Be Cd Pt
2 1 3
Direct
0.500 0.500 0.850
0.500 0.500 0.150
0.500 0.500 0.500
0.000 0.000 0.000
0.000 0.000 0.717
0.000 0.000 0.283
```

***

Entry 4:
Computed, not measured: a geometry-optimized NdMg2Al2Zn structure at the PBE level of DFT.

The structure in POSCAR format:
```
NdMg2Al2Zn
1.0
4.258 0.000 0.000
0.000 4.258 0.000
-2.129 -2.129 8.512
Nd Mg Al Zn
1 2 2 1
Direct
0.500 0.500 0.000
0.250 0.750 0.500
0.750 0.250 0.500
0.862 0.862 0.725
0.138 0.138 0.275
0.000 0.000 0.000
```

***

V per entry: 17.4, 14.1, 13.5, 25.7 A^3/atom
Energy of formation from the pure elements per entry: 0.30, 0.74, -0.65, 0.16 eV per atom
Raw total energy per entry: -5.82, -7.16, -5.07, -2.63 eV/atom